A relaxed structure of CaSiTe2I, computed with PBEsol.

a b c (Å): 5.6743 5.7527 5.7527
angles (deg): 90.00 90.00 90.00
Closest atoms and distances in Å follow each position.
Positions (direct):
I 0.5000 0.0000 0.0000  2 Ca 2.84
Ca 0.0000 0.0000 0.0000  2 I 2.84, 4 Te 2.88
Te 0.0000 0.0000 0.5000  2 Ca 2.88
Te 0.0000 0.5000 0.0000  2 Ca 2.88
Si 0.5000 0.5000 0.5000  8 Te 4.04, 4 I 4.07

## Properties
**Symmetry**: P4/mmm
**Uncorrected formation energy**: 0.367 eV per atom
**D(E_F)**: 5.3 states/eV/cell